First-principles (PBE) data for a geometry-optimized YGaHgTe3 structure, as listed in the Open Quantum Materials Database.

Calculated values
Calculated volume (Å³/atom): 34.568
Magnetization (μB/f.u.): 0.004
Space-group type: No. 63
DFT total energy (eV per atom): -3.90

abc: 8.540 8.540 11.742
angles: 90.00 90.00 151.03
Element x y z (fractional)
1 Y 0.000 0.000 0.000
2 Y 0.000 0.000 0.500
3 Ga 0.457 0.543 0.750
4 Ga 0.543 0.457 0.250
5 Hg 0.259 0.741 0.250
6 Hg 0.741 0.259 0.750
7 Te 0.066 0.934 0.750
8 Te 0.372 0.628 0.561
9 Te 0.372 0.628 0.939
10 Te 0.628 0.372 0.061
11 Te 0.628 0.372 0.439
12 Te 0.934 0.066 0.250